Ca2TaIn, relaxed, DFT GGA-PBE; crystal system = tetragonal; formation enthalpy at 0 K = 3.052 eV per formula unit
1.0
8.4958 0.0000 0.0000
0.0000 8.4958 0.0000
4.2479 4.2479 3.0606
Ca In Ta
4 2 2
Direct
0.1320 0.6250 0.2500
0.3750 0.3820 0.7500
0.6180 0.1250 0.2500
0.8750 0.8680 0.7500
0.5000 0.5000 0.0000
0.2500 0.7500 0.5000
0.0000 0.0000 0.0000
0.7500 0.2500 0.5000


Ca2TaIn, relaxed, DFT GGA-PBE; crystal system = monoclinic; formation enthalpy at 0 K = 1.589 eV per formula unit
1.0
6.9914 0.0239 0.0873
-2.8227 5.3875 -0.0578
1.3460 0.7451 2.7228
In Ta Ca
1 1 2
Direct
0.0000 0.5000 0.5000
0.5000 0.5000 0.0000
0.5000 0.0000 0.5000
0.0000 0.0000 0.0000


CaTa2In, relaxed, DFT GGA-PBE; crystal system = trigonal; formation enthalpy at 0 K = 2.223 eV per formula unit
1.0
10.7813 0.0045 0.0026
10.3423 3.0450 0.0026
10.3423 1.4931 2.6538
Ta Ca In
2 1 1
Direct
0.4949 0.4949 0.4949
0.0051 0.0051 0.0051
0.2500 0.2500 0.2500
0.7500 0.7500 0.7500


Ca2TaIn, relaxed, DFT GGA-PBE; crystal system = cubic; formation enthalpy at 0 K = 1.899 eV per formula unit
1.0
5.2460 0.0000 0.0000
2.6230 4.5432 0.0000
2.6230 1.5144 4.2833
In Ta Ca
1 1 2
Direct
0.5000 0.5000 0.5000
0.7500 0.7500 0.7500
0.2500 0.2500 0.2500
0.0000 0.0000 0.0000


Ca2TaIn, relaxed, DFT GGA-PBE; crystal system = tetragonal; formation enthalpy at 0 K = 1.663 eV per formula unit
1.0
-0.5487 -3.7533 -2.5101
4.4200 0.0704 -1.0714
1.0029 -2.7909 3.9540
Ca Ta In
2 1 1
Direct
0.0000 0.0000 0.0000
0.5000 0.5000 0.0000
0.0000 0.5000 0.5000
0.5000 0.0000 0.5000


Ca2TaIn, relaxed, DFT GGA-PBE; crystal system = monoclinic; formation enthalpy at 0 K = 1.505 eV per formula unit
1.0
4.9883 0.0000 0.0000
0.0000 3.2438 0.0205
0.0000 3.1634 6.3494
Ta In Ca
1 1 2
Direct
0.5000 0.7500 0.7500
0.5000 0.2500 0.2500
0.0000 0.0073 0.9945
0.0000 0.4927 0.5055


> What is the formula in the fourth record?

Ca2TaIn


> Which formula does entry 3 have?

CaTa2In


> What is the formula in the fourth record?

Ca2TaIn


> Which formula does entry 6 have?

Ca2TaIn